# In2Sn2Br (PBE, optimized geometry)
data_In2Sn2Br
_chemical_formula_sum 'In4 Sn4 Br2'
_symmetry_space_group_name_H-M 'I 4/m m m'
_symmetry_Int_Tables_number 139
_symmetry_space_group_name_Hall '-I 4 2'
_cell_length_a 4.389
_cell_length_b 4.389
_cell_length_c 15.588
_cell_angle_alpha 90.00
_cell_angle_beta 90.00
_cell_angle_gamma 90.00
loop_
_atom_site_label
_atom_site_type_symbol
_atom_site_fract_x
_atom_site_fract_y
_atom_site_fract_z
_atom_site_occupancy
In1 In 0.000 0.000 0.094 1
Sn1 Sn 0.000 0.500 0.250 1
Br1 Br 0.000 0.000 0.500 1
# Relative energy among the computed polymorphs ... 0.000 eV/atom

---

# In2Sn2Br (PBE, optimized geometry)
data_In2Sn2Br
_chemical_formula_sum 'In4 Sn4 Br2'
_symmetry_space_group_name_H-M 'P 4/m b m'
_symmetry_Int_Tables_number 127
_symmetry_space_group_name_Hall '-P 4 2ab'
_cell_length_a 8.641
_cell_length_b 8.641
_cell_length_c 4.008
_cell_angle_alpha 90.00
_cell_angle_beta 90.00
_cell_angle_gamma 90.00
loop_
_atom_site_label
_atom_site_type_symbol
_atom_site_fract_x
_atom_site_fract_y
_atom_site_fract_z
_atom_site_occupancy
In1 In 0.181 0.319 0.000 1
Sn1 Sn 0.121 0.621 0.500 1
Br1 Br 0.000 0.000 0.000 1
# Relative energy among the computed polymorphs ... 0.055 eV/atom

---

# In5Sn3Br12 (PBE, optimized geometry)
data_In5Sn3Br12
_chemical_formula_sum 'In40 Sn24 Br96'
_symmetry_space_group_name_H-M 'I a -3 d'
_symmetry_Int_Tables_number 230
_symmetry_space_group_name_Hall '-I 4bd 2c 3'
_cell_length_a 18.250
_cell_length_b 18.250
_cell_length_c 18.250
_cell_angle_alpha 90.00
_cell_angle_beta 90.00
_cell_angle_gamma 90.00
loop_
_atom_site_label
_atom_site_type_symbol
_atom_site_fract_x
_atom_site_fract_y
_atom_site_fract_z
_atom_site_occupancy
In1 In 0.000 0.000 0.000 1
In2 In 0.000 0.250 0.375 1
Sn1 Sn 0.000 0.250 0.125 1
Br1 Br 0.022 0.084 0.648 1
# Relative energy among the computed polymorphs ... 0.142 eV/atom

---

VASP calculation (PBE) on In3Sn5Br12 after structural relaxation.

```
data_In3Sn5Br12
_chemical_formula_sum 'In24 Sn40 Br96'
_symmetry_space_group_name_H-M 'I a -3 d'
_symmetry_Int_Tables_number 230
_symmetry_space_group_name_Hall '-I 4bd 2c 3'
_cell_length_a 18.638
_cell_length_b 18.638
_cell_length_c 18.638
_cell_angle_alpha 90.00
_cell_angle_beta 90.00
_cell_angle_gamma 90.00
loop_
_atom_site_label
_atom_site_type_symbol
_atom_site_fract_x
_atom_site_fract_y
_atom_site_fract_z
_atom_site_occupancy
In1 In 0.000 0.250 0.125 1
Sn1 Sn 0.000 0.000 0.000 1
Sn2 Sn 0.000 0.250 0.375 1
Br1 Br 0.027 0.063 0.647 1
```

---

# In3SnBr (PBE, optimized geometry)
data_In3SnBr
_chemical_formula_sum 'In3 Sn1 Br1'
_symmetry_space_group_name_H-M 'P m -3 m'
_symmetry_Int_Tables_number 221
_symmetry_space_group_name_Hall '-P 4 2 3'
_cell_length_a 5.896
_cell_length_b 5.896
_cell_length_c 5.896
_cell_angle_alpha 90.00
_cell_angle_beta 90.00
_cell_angle_gamma 90.00
loop_
_atom_site_label
_atom_site_type_symbol
_atom_site_fract_x
_atom_site_fract_y
_atom_site_fract_z
_atom_site_occupancy
In1 In 0.000 0.000 0.500 1
Sn1 Sn 0.000 0.000 0.000 1
Br1 Br 0.500 0.500 0.500 1
# Relative energy among the computed polymorphs ... 0.000 eV/atom

---

# InSn2Br (PBE, optimized geometry)
data_InSn2Br
_chemical_formula_sum 'In4 Sn8 Br4'
_symmetry_space_group_name_H-M 'F m -3 m'
_symmetry_Int_Tables_number 225
_symmetry_space_group_name_Hall '-F 4 2 3'
_cell_length_a 7.588
_cell_length_b 7.588
_cell_length_c 7.588
_cell_angle_alpha 90.00
_cell_angle_beta 90.00
_cell_angle_gamma 90.00
loop_
_atom_site_label
_atom_site_type_symbol
_atom_site_fract_x
_atom_site_fract_y
_atom_site_fract_z
_atom_site_occupancy
In1 In 0.000 0.000 0.000 1
Sn1 Sn 0.250 0.250 0.250 1
Br1 Br 0.000 0.000 0.500 1
# Relative energy among the computed polymorphs ... 0.000 eV/atom

---

Calculated values (μB per formula unit) of total magnetic moment for the records, taken in order: 0.00, 0.00, 0.00, 0.00, 0.00, 0.00.
Calculated values (kJ/mol of formula units) of ΔE_f (raw) for the records, taken in order: -48.8, -22.4, -1050.6, -1141.8, 65.9, 2.5.
Calculated values (eV per atom) of E_tot for the records, taken in order: -3.13, -3.08, -2.83, -3.01, -2.64, -3.10.